No. 1
Tm5Pt2Au | PBE | optimized geometry

Unit cell a=7.656 b=7.656 c=8.481 alpha=116.83 beta=116.83 gamma=90.00
Atoms (fractional coordinates):
1 Au 0.250 0.250 0.500
2 Au 0.750 0.750 0.500
3 Tm 0.803 0.980 0.283
4 Tm 0.500 0.500 0.000
5 Tm 0.980 0.480 0.283
6 Tm 0.000 0.000 0.000
7 Tm 0.697 0.197 0.717
8 Tm 0.197 0.020 0.717
9 Tm 0.480 0.303 0.283
10 Tm 0.303 0.803 0.283
11 Tm 0.020 0.520 0.717
12 Tm 0.520 0.697 0.717
13 Pt 0.137 0.363 0.000
14 Pt 0.863 0.637 0.000
15 Pt 0.637 0.137 0.000
16 Pt 0.363 0.863 0.000

## Properties
- SG: No. 140
- DFT formation energy: -956 meV/atom



No. 2
SmLu2Pu | PBE | optimized geometry

Unit cell a=4.904 b=4.933 c=4.933 alpha=90.00 beta=90.00 gamma=90.00
Atoms (fractional coordinates):
1 Pu 0.500 0.000 0.000
2 Sm 0.500 0.500 0.500
3 Lu 0.000 0.500 0.000
4 Lu 0.000 0.000 0.500

## Properties
- SG: No. 123
- DFT formation energy: 136 meV/atom
- Energy above the lowest structure with this stoichiometry: 0.046 eV/atom



No. 3
La2ZnPt | PBE | optimized geometry

Unit cell a=3.603 b=3.603 c=8.294 alpha=90.00 beta=90.00 gamma=90.00
Atoms (fractional coordinates):
1 Zn 0.500 0.500 0.697
2 La 0.000 0.000 0.925
3 La 0.500 0.500 0.337
4 Pt 0.000 0.000 0.541

## Properties
- SG: No. 99
- DFT formation energy: -480 meV/atom



> Look up the DFT formation energy of the third one.

-480 meV/atom



> Which value of DFT formation energy does entry 3 give?

-480 meV/atom